Entry from Alexandria: La2NdEr6Tm3 after structural relaxation (PBE-GGA).

Summary:
**Mass density**: 8.41 g cm⁻³
**Uncorrected energy**: -4.59 eV per atom
**Formation energy**: 0.03 eV per atom
**Density of states at the Fermi level**: 1.416 states/eV per atom
**Total magnetic moment**: 0.00 μB per formula unit

a b c (Å): 6.1696 6.1696 11.7565
angles (deg): 95.02 95.02 119.98
Fractional coordinates of all 12 atoms:
Er  0.5812  0.9140  0.7433
Er  0.2468  0.2468  0.7433
Er  0.0860  0.4188  0.2567
Er  0.4188  0.0860  0.2567
Er  0.9140  0.5812  0.7433
Er  0.7532  0.7532  0.2567
Tm  0.1666  0.8334  0.5000
Tm  0.8334  0.1666  0.5000
Tm  0.5000  0.5000  0.5000
La  0.3334  0.6666  0.0000
La  0.6666  0.3334  0.0000
Nd  0.0000  0.0000  0.0000

***

Entry from Alexandria: La5Nd2ErTm after structural relaxation (PBE-GGA).

Summary:
**Mass density**: 6.76 g cm⁻³
**Uncorrected energy**: -4.53 eV per atom
**Formation energy**: 0.27 eV per atom
**Density of states at the Fermi level**: 1.614 states/eV per atom
**Total magnetic moment**: 0.00 μB per formula unit

a b c (Å): 8.5443 8.5443 10.7374
angles (deg): 113.45 113.45 90.00
Fractional coordinates of all 18 atoms:
La  0.5000  0.5000  0.0000
La  0.9205  0.4205  0.2875
La  0.3669  0.8669  0.2875
La  0.0000  0.0000  0.0000
La  0.6331  0.1331  0.7125
La  0.1331  0.0795  0.7125
La  0.4205  0.3669  0.2875
La  0.8669  0.9205  0.2875
La  0.0795  0.5795  0.7125
La  0.5795  0.6331  0.7125
Nd  0.1257  0.3743  0.0000
Nd  0.6257  0.1257  0.0000
Nd  0.3743  0.8743  0.0000
Nd  0.8743  0.6257  0.0000
Tm  0.7500  0.2500  0.5000
Tm  0.2500  0.7500  0.5000
Er  0.7500  0.7500  0.5000
Er  0.2500  0.2500  0.5000

***

Entry from Alexandria: LaNdEr3Tm after structural relaxation (PBE-GGA).

Summary:
**Mass density**: 8.08 g cm⁻³
**Uncorrected energy**: -4.54 eV per atom
**Formation energy**: 0.11 eV per atom
**Density of states at the Fermi level**: 1.992 states/eV per atom
**Total magnetic moment**: 0.00 μB per formula unit

a b c (Å): 5.8333 6.4562 11.6690
angles (deg): 90.00 90.00 116.86
Fractional coordinates of all 12 atoms:
Er  0.3242  0.6484  0.4983
Er  0.8257  0.6514  0.2500
Er  0.6758  0.3516  0.5017
Er  0.1743  0.3486  0.7500
Er  0.6758  0.3516  0.9983
Er  0.3242  0.6484  0.0017
Nd  0.0000  0.0000  0.0000
Nd  0.0000  0.0000  0.5000
Tm  0.8275  0.6551  0.7500
Tm  0.1725  0.3449  0.2500
La  0.4977  0.9954  0.7500
La  0.5023  0.0046  0.2500

***

Entry from Alexandria: LaNd2Er5Tm after structural relaxation (PBE-GGA).

Summary:
**Mass density**: 8.08 g cm⁻³
**Uncorrected energy**: -4.37 eV per atom
**Formation energy**: 0.26 eV per atom
**Density of states at the Fermi level**: 1.142 states/eV per atom
**Total magnetic moment**: 0.00 μB per formula unit

a b c (Å): 8.7367 8.7367 9.8842
angles (deg): 116.23 116.23 90.00
Fractional coordinates of all 18 atoms:
Er  0.4274  0.3463  0.2738
Er  0.0000  0.0000  0.0000
Er  0.8463  0.9274  0.2738
Er  0.3463  0.8463  0.2738
Er  0.1537  0.0726  0.7262
Er  0.5726  0.6537  0.7262
Er  0.5000  0.5000  0.0000
Er  0.6537  0.1537  0.7262
Er  0.9274  0.4274  0.2738
Er  0.0726  0.5726  0.7262
Nd  0.8831  0.6169  0.0000
Nd  0.3831  0.8831  0.0000
Nd  0.6169  0.1169  0.0000
Nd  0.1169  0.3831  0.0000
Tm  0.2500  0.7500  0.5000
Tm  0.7500  0.2500  0.5000
La  0.2500  0.2500  0.5000
La  0.7500  0.7500  0.5000

***

Entry from Alexandria: LaNd3ErTm after structural relaxation (PBE-GGA).

Summary:
**Mass density**: 7.39 g cm⁻³
**Uncorrected energy**: -4.68 eV per atom
**Formation energy**: 0.03 eV per atom
**Density of states at the Fermi level**: 1.660 states/eV per atom
**Total magnetic moment**: 0.00 μB per formula unit

a b c (Å): 5.1669 8.0855 10.8733
angles (deg): 116.10 90.00 90.00
Fractional coordinates of all 12 atoms:
La  0.7500  0.8789  0.7075
La  0.2500  0.1211  0.2925
Nd  0.2500  0.6216  0.7925
Nd  0.7500  0.3720  0.5438
Nd  0.2500  0.6280  0.4562
Nd  0.2500  0.1299  0.9582
Nd  0.7500  0.3784  0.2075
Nd  0.7500  0.8701  0.0418
Tm  0.2500  0.1265  0.6262
Tm  0.7500  0.8735  0.3738
Er  0.2500  0.6227  0.1245
Er  0.7500  0.3773  0.8755

***

Entry from Alexandria: LaNd4ErTm2 after structural relaxation (PBE-GGA).

Summary:
**Mass density**: 7.54 g cm⁻³
**Uncorrected energy**: -4.66 eV per atom
**Formation energy**: 0.02 eV per atom
**Density of states at the Fermi level**: 1.511 states/eV per atom
**Total magnetic moment**: 0.00 μB per formula unit

a b c (Å): 5.1353 6.2584 9.5827
angles (deg): 89.53 74.46 65.78
Fractional coordinates of all 8 atoms:
Tm  0.7542  0.7455  0.7461
Tm  0.2458  0.2545  0.2539
La  0.0000  0.0000  0.0000
Nd  0.8741  0.8752  0.3766
Nd  0.3761  0.3752  0.8725
Nd  0.6239  0.6248  0.1275
Nd  0.1259  0.1248  0.6234
Er  0.5000  0.5000  0.5000

***

Entry from Alexandria: La6Nd2ErTm after structural relaxation (PBE-GGA).

Summary:
**Mass density**: 6.87 g cm⁻³
**Uncorrected energy**: -4.70 eV per atom
**Formation energy**: 0.11 eV per atom
**Density of states at the Fermi level**: 1.236 states/eV per atom
**Total magnetic moment**: 0.00 μB per formula unit

a b c (Å): 9.2952 9.1231 9.1231
angles (deg): 114.36 90.52 90.52
Fractional coordinates of all 20 atoms:
La  0.9100  0.9244  0.2239
La  0.9039  0.2821  0.5696
La  0.6810  0.9718  0.5357
La  0.8190  0.4643  0.0282
La  0.4100  0.2239  0.9244
La  0.5900  0.7761  0.0756
La  0.0961  0.7179  0.4304
La  0.0900  0.0756  0.7761
La  0.4039  0.5696  0.2821
La  0.1810  0.5357  0.9718
La  0.3190  0.0282  0.4643
La  0.5961  0.4304  0.7179
Er  0.2500  0.9358  0.0642
Er  0.7500  0.0642  0.9358
Nd  0.4377  0.7950  0.7065
Nd  0.0623  0.2935  0.2050
Nd  0.5623  0.2050  0.2935
Nd  0.9377  0.7065  0.7950
Tm  0.7500  0.5706  0.4294
Tm  0.2500  0.4294  0.5706

***

Entry from Alexandria: LaNd6ErTm2 after structural relaxation (PBE-GGA).

Summary:
**Mass density**: 7.30 g cm⁻³
**Uncorrected energy**: -4.59 eV per atom
**Formation energy**: 0.11 eV per atom
**Density of states at the Fermi level**: 1.440 states/eV per atom
**Total magnetic moment**: 0.00 μB per formula unit

a b c (Å): 9.6449 8.9329 8.9329
angles (deg): 116.22 93.27 93.27
Fractional coordinates of all 20 atoms:
La  0.7500  0.0354  0.9646
La  0.2500  0.9646  0.0354
Tm  0.5523  0.2044  0.3006
Tm  0.9477  0.6994  0.7956
Tm  0.4477  0.7956  0.6994
Tm  0.0523  0.3006  0.2044
Er  0.7500  0.5889  0.4111
Er  0.2500  0.4111  0.5889
Nd  0.6826  0.0037  0.5543
Nd  0.9431  0.8873  0.2398
Nd  0.3174  0.9963  0.4457
Nd  0.5569  0.7602  0.1127
Nd  0.8840  0.2955  0.5188
Nd  0.8174  0.4457  0.9963
Nd  0.0569  0.1127  0.7602
Nd  0.4431  0.2398  0.8873
Nd  0.1160  0.7045  0.4812
Nd  0.1826  0.5543  0.0037
Nd  0.6160  0.4812  0.7045
Nd  0.3840  0.5188  0.2955

***

Entry from Alexandria: La2NdY2Er after structural relaxation (PBE-GGA).

Summary:
**Mass density**: 6.05 g cm⁻³
**Uncorrected energy**: -5.09 eV per atom
**Formation energy**: 0.26 eV per atom
**Density of states at the Fermi level**: 1.859 states/eV per atom
**Total magnetic moment**: 0.01 μB per formula unit

a b c (Å): 3.4275 6.6745 18.3941
angles (deg): 90.00 90.00 90.00
Fractional coordinates of all 12 atoms:
Nd  0.5000  0.5000  0.0000
Nd  0.0000  0.0000  0.5000
Y  0.0000  0.7236  0.8551
Y  0.5000  0.7764  0.3551
Y  0.0000  0.2764  0.1449
Y  0.5000  0.2236  0.6449
La  0.5000  0.2741  0.3142
La  0.0000  0.2259  0.8142
La  0.5000  0.7259  0.6858
La  0.0000  0.7741  0.1858
Er  0.5000  0.5000  0.5000
Er  0.0000  0.0000  0.0000

***

Entry from Alexandria: LaNdY3Er after structural relaxation (PBE-GGA).

Summary:
**Mass density**: 5.91 g cm⁻³
**Uncorrected energy**: -5.51 eV per atom
**Formation energy**: 0.10 eV per atom
**Density of states at the Fermi level**: 2.087 states/eV per atom
**Total magnetic moment**: 0.00 μB per formula unit

a b c (Å): 5.9113 6.4750 11.8252
angles (deg): 90.00 90.00 117.16
Fractional coordinates of all 12 atoms:
Y  0.6744  0.3488  0.9959
Y  0.3256  0.6512  0.0041
Y  0.6744  0.3488  0.5041
Y  0.8263  0.6527  0.2500
Y  0.1737  0.3473  0.7500
Y  0.3256  0.6512  0.4959
La  0.4951  0.9902  0.7500
La  0.5049  0.0098  0.2500
Er  0.1696  0.3392  0.2500
Er  0.8304  0.6608  0.7500
Nd  0.0000  0.0000  0.0000
Nd  0.0000  0.0000  0.5000

***

Entry from Alexandria: La2Nd3YEr6 after structural relaxation (PBE-GGA).

Summary:
**Mass density**: 7.62 g cm⁻³
**Uncorrected energy**: -4.82 eV per atom
**Formation energy**: 0.02 eV per atom
**Density of states at the Fermi level**: 1.136 states/eV per atom
**Total magnetic moment**: 0.00 μB per formula unit

a b c (Å): 6.2432 6.2432 11.8183
angles (deg): 95.04 95.04 119.98
Fractional coordinates of all 12 atoms:
Nd  0.8332  0.1668  0.5000
Nd  0.1668  0.8332  0.5000
Nd  0.5000  0.5000  0.5000
La  0.6662  0.3338  0.0000
La  0.3338  0.6662  0.0000
Er  0.0840  0.4169  0.2510
Er  0.7512  0.7512  0.2514
Er  0.5831  0.9160  0.7490
Er  0.9160  0.5831  0.7490
Er  0.2488  0.2488  0.7486
Er  0.4169  0.0840  0.2510
Y  0.0000  0.0000  0.0000

***

Entry from Alexandria: LaNd3Y6Er2 after structural relaxation (PBE-GGA).

Summary:
**Mass density**: 6.03 g cm⁻³
**Uncorrected energy**: -5.58 eV per atom
**Formation energy**: 0.02 eV per atom
**Density of states at the Fermi level**: 1.357 states/eV per atom
**Total magnetic moment**: 0.00 μB per formula unit

a b c (Å): 6.2448 6.2448 11.9101
angles (deg): 95.00 95.00 119.99
Fractional coordinates of all 12 atoms:
Er  0.3333  0.6667  0.0000
Er  0.6667  0.3333  0.0000
Nd  0.5000  0.5000  0.5000
Nd  0.1670  0.8330  0.5000
Nd  0.8330  0.1670  0.5000
Y  0.5824  0.9170  0.7515
Y  0.7482  0.7482  0.2485
Y  0.0830  0.4176  0.2485
Y  0.4176  0.0830  0.2485
Y  0.9170  0.5824  0.7515
Y  0.2518  0.2518  0.7515
La  0.0000  0.0000  0.0000

***

Which formula does entry 7 have? La6Nd2ErTm

***

What did the fifth record say?
Entry from Alexandria: LaNd3ErTm after structural relaxation (PBE-GGA).

Summary:
**Mass density**: 7.39 g cm⁻³
**Uncorrected energy**: -4.68 eV per atom
**Formation energy**: 0.03 eV per atom
**Density of states at the Fermi level**: 1.660 states/eV per atom
**Total magnetic moment**: 0.00 μB per formula unit

a b c (Å): 5.1669 8.0855 10.8733
angles (deg): 116.10 90.00 90.00
Fractional coordinates of all 12 atoms:
La  0.7500  0.8789  0.7075
La  0.2500  0.1211  0.2925
Nd  0.2500  0.6216  0.7925
Nd  0.7500  0.3720  0.5438
Nd  0.2500  0.6280  0.4562
Nd  0.2500  0.1299  0.9582
Nd  0.7500  0.3784  0.2075
Nd  0.7500  0.8701  0.0418
Tm  0.2500  0.1265  0.6262
Tm  0.7500  0.8735  0.3738
Er  0.2500  0.6227  0.1245
Er  0.7500  0.3773  0.8755

***

density of states at the Fermi level of number 1 (La2NdEr6Tm3)? 1.416 states/eV per atom